The following is a PBE calculation of crystalline Lu3Se2NO at its relaxed geometry, from the Open Quantum Materials Database.

Lattice parameters (Å, degrees): 7.823 7.823 9.451 97.31 97.31 28.09
Fractional coordinates of all 14 atoms:
Lu 0.393 0.393 0.057
Lu 0.045 0.045 0.257
Lu 0.804 0.804 0.324
Lu 0.196 0.196 0.676
Lu 0.955 0.955 0.743
Lu 0.607 0.607 0.943
N 0.904 0.904 0.188
N 0.096 0.096 0.812
O 0.537 0.537 0.138
O 0.463 0.463 0.862
Se 0.213 0.213 0.150
Se 0.629 0.629 0.472
Se 0.371 0.371 0.528
Se 0.787 0.787 0.850

Computed properties:
Symmetry   C2/m (12)
Electronic total energy   -99.861 eV per cell
V   19.3 Å³/atom